1.
# Sr2TlOs (GGA-PBEsol, optimized geometry)
# Energy = -16.459 eV per cell
# Energy relative to the lowest polymorph listed for this composition = 0.00 eV/f.u.
# Crystal system = tetragonal
# Size of the total moment = 0.0 μB/cell
data_Sr2TlOs
_symmetry_space_group_name_H-M 'P 4/m m m'
_symmetry_Int_Tables_number 123
_symmetry_space_group_name_Hall '-P 4 2'
_cell_length_a 5.093
_cell_length_b 5.093
_cell_length_c 3.998
_cell_angle_alpha 90.00
_cell_angle_beta 90.00
_cell_angle_gamma 90.00
loop_
_atom_site_label
_atom_site_fract_x
_atom_site_fract_y
_atom_site_fract_z
_atom_site_occupancy
Sr1 0.000 0.500 0.000 1
Tl1 0.000 0.000 0.500 1
Os1 0.500 0.500 0.500 1

***

2.
# SrOs2W (GGA-PBEsol, optimized geometry)
# Energy = -111.033 eV per cell
# Energy relative to the lowest polymorph listed for this composition = 0.00 eV/f.u.
# Crystal system = trigonal
# Size of the total moment = 0.0 μB/cell
data_SrOs2W
_symmetry_space_group_name_H-M 'R -3 m'
_symmetry_Int_Tables_number 166
_symmetry_space_group_name_Hall '-R 3 2"'
_cell_length_a 2.8560
_cell_length_b 2.8560
_cell_length_c 29.0025
_cell_angle_alpha 90.00
_cell_angle_beta 90.00
_cell_angle_gamma 120.00
loop_
_atom_site_label
_atom_site_fract_x
_atom_site_fract_y
_atom_site_fract_z
_atom_site_occupancy
Sr1 0.0000 0.0000 0.0000 1
Os1 0.0000 0.0000 0.2396 1
W1 0.0000 0.0000 0.5000 1

***

3.
# SrOs2W (GGA-PBEsol, optimized geometry)
# Energy = -71.770 eV per cell
# Energy relative to the lowest polymorph listed for this composition = 1.13 eV/f.u.
# Crystal system = orthorhombic
# Size of the total moment = 0.0 μB/cell
data_SrOs2W
_symmetry_space_group_name_H-M 'C m m m'
_symmetry_Int_Tables_number 65
_symmetry_space_group_name_Hall '-C 2 2'
_cell_length_a 6.398
_cell_length_b 7.732
_cell_length_c 2.790
_cell_angle_alpha 90.00
_cell_angle_beta 90.00
_cell_angle_gamma 90.00
loop_
_atom_site_label
_atom_site_fract_x
_atom_site_fract_y
_atom_site_fract_z
_atom_site_occupancy
Sr1 0.000 0.000 0.000 1
Os1 0.250 0.250 0.500 1
W1 0.000 0.500 0.000 1

***

Going through the records in order, we get energy of formation from the pure elements values of 0.517, 0.767, 1.049 eV per atom.